## LiIn2Au (meta-GGA SCAN)

Data for LiIn2Au at its PBEsol-relaxed geometry.

Cell: 3.329 3.637 6.450 Å, 90.00 90.00 90.00°
Fractional positions:
Au1 0.500 0.500 0.720
In1 0.500 0.500 0.280
Li1 0.000 0.000 0.531
In2 0.000 0.000 0.970

## Properties
ΔE_f in eV/atom: -0.30
Total energy in hartree per atom: -1.282

=====

## Mg3PN (meta-GGA SCAN)

Data for Mg3PN at its PBEsol-relaxed geometry.

Cell: 4.154 4.154 4.154 Å, 90.00 90.00 90.00°
Fractional positions:
P1 0.500 0.500 0.500
Mg1 0.000 0.000 0.500
Mg2 0.000 0.500 0.000
N1 0.000 0.000 0.000
Mg3 0.500 0.000 0.000

## Properties
Formation energy without anion corrections in eV/atom: -0.894
Total energy in hartree per atom: -0.287

=====

## LiCaSb2 (meta-GGA SCAN)

Data for LiCaSb2 at its PBEsol-relaxed geometry.

Cell: 4.733 4.733 5.519 Å, 115.39 115.39 90.00°
Fractional positions:
Ca1 0.000 0.000 0.000
Sb1 0.750 0.250 0.500
Li1 0.500 0.500 0.000
Sb2 0.250 0.750 0.500

## Properties
Formation energy without anion corrections in eV/atom: -0.675
Total energy in hartree per atom: -0.820

=====

## Cd3FeC (meta-GGA SCAN)

Data for Cd3FeC at its PBEsol-relaxed geometry.

Cell: 4.465 4.465 4.465 Å, 90.00 90.00 90.00°
Each line ends with the local moment (μB).
Fractional positions:
Cd1 0.000 0.500 0.000  -0.04
Cd2 0.500 0.000 0.000  -0.04
Cd3 0.000 0.000 0.500  -0.04
Fe1 0.500 0.500 0.500  3.07
C1 0.000 0.000 0.000  0.07

## Properties
ΔE_f in eV/atom: 1.18
Total energy in hartree per atom: -0.835

=====

## DyAu6 (meta-GGA SCAN)

Data for DyAu6 at its PBEsol-relaxed geometry.

Cell: 9.710 10.276 10.276 Å, 90.00 90.00 90.00°
Fractional positions:
Au1 0.829 0.431 0.264
Au2 0.605 0.449 0.627
Au3 0.895 0.373 0.551
Au4 0.750 0.250 0.750
Au5 0.105 0.127 0.051
Dy1 0.962 0.824 0.676
Au6 0.829 0.764 0.931
Au7 0.895 0.627 0.449
Au8 0.571 0.602 0.102
Dy2 0.538 0.324 0.176
Au9 0.182 0.000 0.500
Au10 0.895 0.051 0.873
Au11 0.250 0.750 0.750
Au12 0.929 0.898 0.398
Au13 0.395 0.051 0.127
Au14 0.429 0.898 0.602
Au15 0.571 0.398 0.898
Au16 0.605 0.551 0.373
Au17 0.105 0.873 0.949
Au18 0.329 0.569 0.264
Au19 0.605 0.127 0.949
Au20 0.818 0.500 0.000
Au21 0.171 0.069 0.764
Au22 0.929 0.102 0.602
Au23 0.829 0.236 0.069
Au24 0.395 0.627 0.551
Dy3 0.462 0.824 0.324
Dy4 0.038 0.324 0.824
Au25 0.250 0.250 0.250
Au26 0.395 0.373 0.449
Au27 0.429 0.102 0.398
Au28 0.895 0.949 0.127
Au29 0.071 0.398 0.102
Au30 0.105 0.449 0.373
Au31 0.171 0.931 0.236
Dy5 0.962 0.176 0.324
Au32 0.829 0.569 0.736
Au33 0.682 0.000 0.500
Dy6 0.538 0.676 0.824
Au34 0.318 0.500 0.000
Au35 0.671 0.264 0.431
Au36 0.671 0.736 0.569
Au37 0.605 0.873 0.051
Au38 0.671 0.931 0.764
Au39 0.329 0.236 0.931
Au40 0.329 0.764 0.069
Au41 0.671 0.069 0.236
Au42 0.171 0.736 0.431
Au43 0.329 0.431 0.736
Dy7 0.038 0.676 0.176
Au44 0.071 0.602 0.898
Au45 0.395 0.949 0.873
Au46 0.750 0.750 0.250
Au47 0.105 0.551 0.627
Dy8 0.462 0.176 0.676
Au48 0.171 0.264 0.569

## Properties
ΔE_f in eV/atom: -0.51
Total energy in hartree per atom: -2.448

=====

## NaZn2Cd2 (meta-GGA SCAN)

Data for NaZn2Cd2 at its PBEsol-relaxed geometry.

Cell: 3.895 3.895 7.276 Å, 105.53 105.53 90.00°
Fractional positions:
Zn1 0.750 0.250 0.500
Cd1 0.605 0.605 0.209
Cd2 0.395 0.395 0.791
Zn2 0.250 0.750 0.500
Na1 0.000 0.000 0.000

## Properties
ΔE_f in eV/atom: 0.02
Total energy in hartree per atom: -0.676

=====

Which value of total energy does entry 1 give?
-1.282 hartree per atom

=====

Please write out number 1 again, unchanged.
## LiIn2Au (meta-GGA SCAN)

Data for LiIn2Au at its PBEsol-relaxed geometry.

Cell: 3.329 3.637 6.450 Å, 90.00 90.00 90.00°
Fractional positions:
Au1 0.500 0.500 0.720
In1 0.500 0.500 0.280
Li1 0.000 0.000 0.531
In2 0.000 0.000 0.970

## Properties
ΔE_f in eV/atom: -0.30
Total energy in hartree per atom: -1.282

=====

Among the records above, which one has the lowest total energy?
DyAu6